(1)
This record from Alexandria via LeMat-Bulk describes a relaxed Ag3OsS crystal. The functional is PBEsol.

a b c (Å): 4.9259 4.9259 4.9259
angles (deg): 90.00 90.00 90.00
Closest atoms and distances in Å follow each position.
Fractional coordinates of all 5 atoms:
Os  0.0000  0.0000  0.0000  6 Ag 2.46
Ag  0.5000  0.0000  0.0000  2 Os 2.46
Ag  0.0000  0.0000  0.5000  2 Os 2.46
Ag  0.0000  0.5000  0.0000  2 Os 2.46
S  0.5000  0.5000  0.5000  12 Ag 3.48

Computed properties:
Uncorrected formation energy (eV per atom): 1.847



(2)
This record from Alexandria via LeMat-Bulk describes a relaxed TeAuSCl2 crystal. The functional is PBEsol.

a b c (Å): 4.7915 4.7915 4.9377
angles (deg): 90.00 90.00 90.00
Closest atoms and distances in Å follow each position.
Fractional coordinates of all 5 atoms:
Au  0.0000  0.0000  0.0000  4 Cl 2.40, 2 S 2.47
Cl  0.5000  0.0000  0.0000  2 Au 2.40
Cl  0.0000  0.5000  0.0000  2 Au 2.40
Te  0.5000  0.5000  0.5000  4 S 3.39, 8 Cl 3.44
S  0.0000  0.0000  0.5000  2 Au 2.47

Computed properties:
Uncorrected formation energy (eV per atom): 0.296



(3)
This record from Alexandria via LeMat-Bulk describes a relaxed ZnCu2Ni crystal. The functional is PBEsol.

a b c (Å): 3.5627 3.5627 4.3910
angles (deg): 113.93 113.93 90.00
Closest atoms and distances in Å follow each position.
Fractional coordinates of all 4 atoms:
Ni  0.5000  0.5000  0.0000  4 Zn 2.52, 8 Cu 2.53
Cu  0.7500  0.2500  0.5000  4 Cu 2.52, 4 Zn 2.53, 4 Ni 2.53
Cu  0.2500  0.7500  0.5000  4 Cu 2.52, 4 Zn 2.53, 4 Ni 2.53
Zn  0.0000  0.0000  0.0000  4 Ni 2.52, 8 Cu 2.53

Computed properties:
Calculated formation energy (eV/atom): -0.09



(4)
This record from Alexandria via LeMat-Bulk describes a relaxed SrSiTc2 crystal. The functional is PBEsol.

a b c (Å): 4.5698 4.5698 4.5698
angles (deg): 60.00 60.00 60.00
Closest atoms and distances in Å follow each position.
Fractional coordinates of all 4 atoms:
Tc  0.0000  0.0000  0.0000  4 Sr 2.80, 4 Tc 2.80
Tc  0.7500  0.7500  0.7500  4 Si 2.80, 4 Tc 2.80
Sr  0.2500  0.2500  0.2500  4 Tc 2.80, 4 Si 2.80
Si  0.5000  0.5000  0.5000  4 Tc 2.80, 4 Sr 2.80

Computed properties:
Uncorrected formation energy (eV per atom): 0.610



(5)
This record from Alexandria via LeMat-Bulk describes a relaxed Li2CaRe crystal. The functional is PBEsol.

a b c (Å): 2.6212 5.4469 5.7098
angles (deg): 117.56 101.52 93.58
Closest atoms and distances in Å follow each position.
Fractional coordinates of all 4 atoms:
Re  0.0000  0.5000  0.0000  2 Re 2.62, 4 Li 2.89
Li  0.5000  0.5000  0.5000  2 Li 2.62, 2 Ca 2.89, 2 Re 2.89
Li  0.0000  0.0000  0.5000  2 Li 2.62, 2 Re 2.89, 2 Ca 2.89
Ca  0.5000  0.0000  0.0000  2 Ca 2.62, 4 Li 2.89

Computed properties:
E above lowest polymorph (kJ/mol of formula units): 0.0
Calculated formation energy (eV/atom): 0.59



(6)
This record from Alexandria via LeMat-Bulk describes a relaxed BaHg3Au crystal. The functional is PBEsol.

a b c (Å): 5.2954 5.2954 5.2954
angles (deg): 90.00 90.00 90.00
Closest atoms and distances in Å follow each position.
Fractional coordinates of all 5 atoms:
Hg  0.0000  0.0000  0.5000  2 Au 2.65
Hg  0.5000  0.0000  0.0000  2 Au 2.65
Hg  0.0000  0.5000  0.0000  2 Au 2.65
Ba  0.5000  0.5000  0.5000  12 Hg 3.74
Au  0.0000  0.0000  0.0000  6 Hg 2.65

Computed properties:
Calculated formation energy (eV/atom): -0.26



| no. | calculated volume (Å³/cell) |
| --- | --- |
| 1 | 119.5 |
| 2 | 113.4 |
| 3 | 45.6 |
| 4 | 67.5 |
| 5 | 69.7 |
| 6 | 148.5 |